# 1
DFT (PBE) results for a relaxed FeCoGeMo crystal.

Cell lengths 4.1677, 4.1677, 4.1677 Å; angles 60.00, 60.00, 60.00 degrees
Last column: magnetic moment on the atom in μB.
Positions (direct):
Mo (0.5000, 0.5000, 0.5000)  0.39
Co (0.7500, 0.7500, 0.7500)  1.20
Ge (0.0000, 0.0000, 0.0000)  0.00
Fe (0.2500, 0.2500, 0.2500)  1.25

Summary:
uncorrected energy: -7.72 eV per atom

***

# 2
DFT (PBE) results for a relaxed Fe2CoGeN crystal.

Cell lengths 3.7899, 3.7899, 3.8017 Å; angles 90.00, 90.00, 90.00 degrees
Last column: magnetic moment on the atom in μB.
Positions (direct):
Ge (0.5000, 0.5000, 0.5000)  -0.05
Co (0.0000, 0.0000, 0.5000)  0.59
Fe (0.0000, 0.5000, 0.0000)  1.90
Fe (0.5000, 0.0000, 0.0000)  1.90
N (0.0000, 0.0000, 0.0000)  0.03

Summary:
formation energy from raw total energies: -4 kJ per mole of atoms

***

# 3
DFT (PBE) results for a relaxed FeCoNiGe crystal.

Cell lengths 4.0609, 4.0609, 4.0609 Å; angles 60.00, 60.00, 60.00 degrees
Last column: magnetic moment on the atom in μB.
Positions (direct):
Ni (0.5000, 0.5000, 0.5000)  0.25
Ge (0.2500, 0.2500, 0.2500)  -0.01
Co (0.0000, 0.0000, 0.0000)  1.10
Fe (0.7500, 0.7500, 0.7500)  2.78

Summary:
uncorrected energy: -6.61 eV per atom

***

# 4
DFT (PBE) results for a relaxed NpFeCoGe2 crystal.

Cell lengths 3.9847, 3.9847, 5.7580 Å; angles 110.24, 110.24, 90.00 degrees
Last column: magnetic moment on the atom in μB.
Positions (direct):
Np (0.0000, 0.0000, 0.0000)  3.69
Fe (0.2500, 0.7500, 0.5000)  -0.64
Co (0.7500, 0.2500, 0.5000)  0.16
Ge (0.6288, 0.6288, 0.2576)  0.00
Ge (0.3712, 0.3712, 0.7424)  0.00

Summary:
uncorrected energy: -7.77 eV per atom

***

# 5
DFT (PBE) results for a relaxed NpFeCoGe crystal.

Cell lengths 4.4123, 4.4123, 4.4123 Å; angles 60.00, 60.00, 60.00 degrees
Last column: magnetic moment on the atom in μB.
Positions (direct):
Np (0.5000, 0.5000, 0.5000)  3.41
Ge (0.0000, 0.0000, 0.0000)  -0.05
Co (0.2500, 0.2500, 0.2500)  -1.11
Fe (0.7500, 0.7500, 0.7500)  -1.94

Summary:
uncorrected energy: -8.34 eV per atom

***

# 6
DFT (PBE) results for a relaxed NpFeCoGe3 crystal.

Cell lengths 5.7488, 7.3179, 6.2386 Å; angles 125.91, 90.00, 90.00 degrees
Last column: magnetic moment on the atom in μB.
Positions (direct):
Np (0.7500, 0.2570, 0.5139)  3.85
Np (0.2500, 0.7430, 0.4861)  3.85
Fe (0.2500, 0.4722, 0.9445)  -0.89
Fe (0.7500, 0.5278, 0.0555)  -0.89
Co (0.2500, 0.0267, 0.0534)  0.13
Co (0.7500, 0.9733, 0.9466)  0.13
Ge (0.2500, 0.2478, 0.4957)  0.03
Ge (0.0000, 0.2484, 0.0000)  0.01
Ge (0.5000, 0.7516, 0.0000)  0.01
Ge (0.5000, 0.2484, 0.0000)  0.01
Ge (0.0000, 0.7516, 0.0000)  0.01
Ge (0.7500, 0.7522, 0.5043)  0.03

Summary:
uncorrected energy: -7.02 eV per atom